1.
SmGe2Cl8 | the Alexandria database | PBE | relaxed; space-group type = C2/m (12)
1.0
6.1389 -4.4560 0.0000
6.1389 4.4560 0.0000
-2.5572 0.0000 7.1735
Sm Ge Cl
1 2 8
Cartesian
0.0000 0.0000 0.0000
0.0621 0.0000 4.4908
9.6584 0.0000 2.6827
4.5590 2.6726 1.3730
1.5180 0.0000 2.2137
5.1616 2.6726 5.8004
1.9727 0.0000 5.5885
7.7478 0.0000 1.5849
4.5590 -2.6726 1.3730
8.2026 0.0000 4.9597
5.1616 -2.6726 5.8004


2.
Sm4Ge2Cl | the Alexandria database | PBE | relaxed; space-group type = I-42d (122)
1.0
-4.4045 4.4045 4.6319
4.4045 -4.4045 4.6319
4.4045 4.4045 -4.6319
Sm Ge Cl
8 4 2
Cartesian
3.7511 -2.7225 2.9389
7.1271 -0.6534 1.6931
5.0579 1.6820 -0.6229
1.6820 0.6534 1.6931
1.6820 3.7511 0.6229
5.0579 2.7225 2.9389
2.7225 0.6534 5.2548
-0.6534 2.7225 4.0091
-1.0872 2.2023 1.1580
2.2023 3.3173 3.4740
1.0872 6.6068 1.1580
-2.2023 5.4917 3.4740
4.4045 0.0000 2.3160
0.0000 0.0000 4.6319


3.
Sm4Ge2Cl5 | the Alexandria database | PBE | relaxed; space-group type = C2/m (12)
1.0
11.4510 -2.0332 0.0000
11.4510 2.0332 0.0000
-1.6804 0.0000 7.8259
Sm Ge Cl
4 2 5
Cartesian
-0.1814 0.0000 2.1604
6.8156 0.0000 4.2389
14.4061 0.0000 3.5870
21.4031 0.0000 5.6655
9.4665 0.0000 3.4450
11.7553 0.0000 4.3809
2.6551 0.0000 1.7068
4.0163 0.0000 5.2253
11.4510 0.0000 0.0000
17.2054 0.0000 2.6006
18.5666 0.0000 6.1191


4.
Sm7GeCl12 | the Alexandria database | PBE | relaxed; space-group type = R-3 (148)
1.0
7.2880 4.2077 3.2360
-7.2880 4.2077 3.2360
0.0000 -8.4154 3.2360
Sm Ge Cl
7 1 12
Cartesian
0.0000 0.0000 0.0000
-1.5976 -1.6125 3.2853
-0.5977 2.1898 3.2853
2.1953 -0.5773 3.2853
-2.1953 0.5773 6.4227
0.5977 -2.1898 6.4227
1.5976 1.6125 6.4227
0.0000 0.0000 4.8540
-2.2250 0.5831 1.5510
0.6076 -2.2185 1.5510
-3.8812 -1.0250 4.8329
-1.0530 -3.8737 4.8752
1.6175 1.6354 1.5510
-2.8283 2.8487 4.8752
2.8283 -2.8487 4.8329
-1.6175 -1.6354 8.1571
1.0529 3.8737 4.8329
3.8812 1.0250 4.8752
-0.6076 2.2185 8.1571
2.2250 -0.5831 8.1571


5.
Sm3Ge2Cl | the Alexandria database | PBE | relaxed; space-group type = Pnma (62)
1.0
8.4424 0.0000 0.0000
0.0000 5.9139 0.0000
0.0000 0.0000 12.5697
Sm Ge Cl
12 8 4
Cartesian
0.9851 1.4785 3.1074
1.0280 1.4785 7.3531
1.1863 1.4785 11.4209
3.0349 4.4354 5.1360
3.1932 4.4354 1.0682
3.2361 4.4354 9.3922
5.2063 1.4785 3.1775
5.2492 1.4785 11.5015
5.4075 1.4785 7.4337
7.2561 4.4354 1.1488
7.4144 4.4354 5.2166
7.4573 4.4354 9.4623
1.0311 4.4354 3.0755
1.1110 4.4354 7.3375
3.1101 1.4785 1.0526
3.1901 1.4785 9.3604
5.2523 4.4354 3.2093
5.3322 4.4354 11.5170
7.3313 1.4785 5.2322
7.4113 1.4785 9.4942
1.0738 4.4354 11.5058
3.1474 1.4785 5.2210
5.2950 4.4354 7.3487
7.3686 1.4785 1.0639


6.
Sm4GeTe2Cl | the Alexandria database | PBE | relaxed; space-group type = P2/m (10)
1.0
7.3433 0.0000 0.0000
0.0000 4.2907 0.0000
-2.5009 0.0000 7.2018
Sm Ge Te Cl
4 1 2 1
Cartesian
1.1438 0.0000 1.5885
-0.1269 2.1454 5.5916
4.9693 2.1454 1.6101
3.6986 0.0000 5.6133
0.0000 2.1454 0.0000
-1.2504 0.0000 3.6009
2.4212 2.1454 3.6009
3.6716 0.0000 0.0000


| no. | raw formation energy (eV per atom) | VASP energy (hartree per atom) |
| --- | --- | --- |
| 1 | -1.21 | -0.1404 |
| 2 | -0.93 | -0.1915 |
| 3 | -1.56 | -0.1821 |
| 4 | -1.93 | -0.1809 |
| 5 | -1.13 | -0.1961 |
| 6 | -1.32 | -0.1936 |